Record 1
This record from Alexandria describes a relaxed structure of AgHS. The functional is PBE.

Lattice parameters (Å, degrees): 3.8418 3.8090 7.8546 118.49 104.16 90.00
With the nearest neighbours (Å) after each atom.
Positions (direct):
H1 0.2811 0.8202 0.5623  1 S 1.37
H2 0.7189 0.1798 0.4377  1 S 1.37
S1 0.3841 0.0230 0.7683  1 H 1.37
Ag1 0.0950 0.4360 0.1900  1 H 2.47, 4 S 2.72
Ag2 0.9050 0.5640 0.8100  1 H 2.47, 4 S 2.72
S2 0.6159 0.9770 0.2317  1 H 1.37

Calculated values
Offset from the most stable computed form in meV/atom: 104
E_tot in eV/atom: -3.460
DOS at the Fermi energy in states/eV/f.u.: 0.3

---

Record 2
This record from Alexandria describes a relaxed structure of AgHS6. The functional is PBE.

Lattice parameters (Å, degrees): 9.0112 8.3948 5.6931 99.08 45.73 67.28
With the nearest neighbours (Å) after each atom.
Positions (direct):
S1 0.8275 0.5093 0.6340  1 S 1.98
Ag1 0.5000 0.5000 0.5000  2 S 2.41
S2 0.5390 0.1713 0.8234  2 S 1.98-2.12
S3 0.6622 0.1421 0.3254  1 H 1.66
H1 0.0000 0.0000 0.0000  2 S 1.66
S4 0.1725 0.4907 0.3660  1 S 1.98
S5 0.4610 0.8287 0.1766  2 S 1.98-2.12
S6 0.3378 0.8579 0.6746  1 H 1.66

Calculated values
E_tot in eV/atom: -3.793
DOS at the Fermi energy in states/eV/f.u.: 0.0

---

Record 3
This record from Alexandria describes a relaxed structure of AgH2S6. The functional is PBE.

Lattice parameters (Å, degrees): 11.2878 17.8127 11.2878 36.06 20.42 36.06
With the nearest neighbours (Å) after each atom.
Positions (direct):
S1 0.1136 0.6705 0.6893  2 S 2.03-2.07
S2 0.5726 0.3598 0.9137  1 H 1.36
H1 0.7834 0.1000 0.7641  1 S 1.36
S3 0.2084 0.8238 0.8135  1 S 2.03
S4 0.6893 0.1705 0.1136  2 S 2.03-2.07
S5 0.9137 0.8598 0.5726  1 H 1.36
Ag1 0.3038 0.2500 0.6962  4 S 2.51-2.52
H2 0.2359 0.4000 0.2166  1 S 1.36
Ag2 0.6962 0.7500 0.3038  4 S 2.51-2.52
H3 0.2166 0.9000 0.2359  1 S 1.36
S6 0.8135 0.3238 0.2084  1 S 2.03
S7 0.8864 0.3295 0.3107  2 S 2.03-2.07
S8 0.0863 0.1402 0.4274  1 H 1.36
S9 0.7916 0.1762 0.1865  1 S 2.03
S10 0.4274 0.6402 0.0863  1 H 1.36
S11 0.3107 0.8295 0.8864  2 S 2.03-2.07
S12 0.1865 0.6762 0.7916  1 S 2.03
H4 0.7641 0.6000 0.7834  1 S 1.36

Calculated values
E_tot in eV/atom: -3.805
DOS at the Fermi energy in states/eV/f.u.: 1.7

---

Record 4
This record from Alexandria describes a relaxed structure of Ag3HS2. The functional is PBE.

Lattice parameters (Å, degrees): 5.6677 6.9735 7.0863 119.47 113.57 90.00
With the nearest neighbours (Å) after each atom.
Positions (direct):
Ag1 0.2332 0.9832 0.4664  2 S 2.55
S1 0.8917 0.1038 0.2076  1 H 1.66
S2 0.3160 0.6038 0.2076  1 H 1.66
S3 0.6840 0.3962 0.7924  1 H 1.66
Ag2 0.2332 0.4832 0.4664  2 S 2.55
Ag3 0.5000 0.7500 0.0000  4 S 2.64, 2 Ag 2.92
Ag4 0.5000 0.2500 0.0000  4 S 2.64, 2 Ag 2.92
H1 0.0000 0.0000 0.0000  2 S 1.66
H2 0.0000 0.5000 0.0000  2 S 1.66
Ag5 0.7668 0.0168 0.5336  2 S 2.55
S4 0.1083 0.8962 0.7924  1 H 1.66
Ag6 0.7668 0.5168 0.5336  2 S 2.55

Calculated values
E_tot in eV/atom: -3.334
DOS at the Fermi energy in states/eV/f.u.: 1.0

---

Record 5
This record from Alexandria describes a relaxed structure of AgHS4. The functional is PBE.

Lattice parameters (Å, degrees): 4.6307 14.5466 19.5955 13.43 77.77 78.81
With the nearest neighbours (Å) after each atom.
Positions (direct):
S1 0.8955 0.0250 0.0352  1 H 1.36
H1 0.6703 0.7671 0.2137  1 S 1.36
S2 0.3427 0.2410 0.3451  2 S 2.02-2.26
S3 0.6770 0.9999 0.6974  1 S 2.07
H2 0.3297 0.2329 0.7863  1 S 1.36
S4 0.6573 0.7590 0.6549  2 S 2.02-2.26
Ag1 0.2211 0.1375 0.5565  3 S 2.48-2.64
S5 0.5938 0.7504 0.9765  2 S 2.02-2.07
S6 0.1045 0.9750 0.9648  1 H 1.36
S7 0.3230 0.0001 0.3026  1 S 2.07
S8 0.4062 0.2496 0.0235  2 S 2.02-2.07
Ag2 0.7789 0.8625 0.4435  3 S 2.48-2.64

Calculated values
E_tot in eV/atom: -3.742

---

Record 6
This record from Alexandria describes a relaxed structure of AgHS2. The functional is PBE.

Lattice parameters (Å, degrees): 7.7216 7.7216 7.7216 22.05 22.05 22.05
With the nearest neighbours (Å) after each atom.
Positions (direct):
H1 0.5000 0.5000 0.5000  6 S 2.17
S1 0.1075 0.1075 0.1075  3 H 2.17
Ag1 0.0000 0.0000 0.0000  2 S 2.43
S2 0.8925 0.8925 0.8925  3 H 2.17

Calculated values
Offset from the most stable computed form in meV/atom: 540
E_tot in eV/atom: -2.837
DOS at the Fermi energy in states/eV/f.u.: 1.6

---

Record 7
This record from Alexandria describes a relaxed structure of AgH2S. The functional is PBE.

Lattice parameters (Å, degrees): 2.9971 2.9971 7.1289 77.87 77.87 60.00
With the nearest neighbours (Å) after each atom.
Positions (direct):
S1 0.5000 0.5000 0.5000  6 H 1.80
H1 0.1429 0.1429 0.5712  3 S 1.80, 3 H 1.99
H2 0.8571 0.8571 0.4288  3 S 1.80, 3 H 1.99
Ag1 0.0000 0.0000 0.0000  2 H 2.97, 6 Ag 3.00

Calculated values
Offset from the most stable computed form in meV/atom: 251
E_tot in eV/atom: -2.789
DOS at the Fermi energy in states/eV/f.u.: 1.1

---

Record 8
This record from Alexandria describes a relaxed structure of AgHS2. The functional is PBE.

Lattice parameters (Å, degrees): 4.3687 4.3687 4.3687 60.00 60.00 60.00
With the nearest neighbours (Å) after each atom.
Positions (direct):
Ag1 0.5000 0.5000 0.5000  8 S 2.68
S1 0.2500 0.2500 0.2500  4 Ag 2.68, 4 H 2.68
S2 0.7500 0.7500 0.7500  4 Ag 2.68, 4 H 2.68
H1 0.0000 0.0000 0.0000  8 S 2.68

Calculated values
Offset from the most stable computed form in meV/atom: 754
E_tot in eV/atom: -2.622
DOS at the Fermi energy in states/eV/f.u.: 4.2

---

Record 9
This record from Alexandria describes a relaxed structure of AgHS. The functional is PBE.

Lattice parameters (Å, degrees): 4.4067 4.4114 6.5910 86.10 86.55 60.07
With the nearest neighbours (Å) after each atom.
Positions (direct):
H1 0.3302 0.3280 0.0423  1 S 1.35
H2 0.6698 0.6720 0.9577  1 S 1.35
S1 0.3212 0.3139 0.2483  1 H 1.35
Ag1 0.0128 0.0215 0.7297  3 S 2.55
S2 0.6788 0.6861 0.7517  1 H 1.35
Ag2 0.9872 0.9785 0.2703  3 S 2.55

Calculated values
Offset from the most stable computed form in meV/atom: 22
E_tot in eV/atom: -3.542

---

Record 10
This record from Alexandria describes a relaxed structure of Ag2H2S. The functional is PBE.

Lattice parameters (Å, degrees): 4.4286 4.4264 6.5034 72.20 70.09 59.98
With the nearest neighbours (Å) after each atom.
Positions (direct):
Ag1 0.7035 0.6931 0.8999  3 S 2.63, 3 Ag 2.83
H1 0.5279 0.5065 0.4377  1 H 0.76
H2 0.4721 0.4935 0.5623  1 H 0.76
S1 0.0000 0.0000 0.0000  6 Ag 2.63
Ag2 0.2965 0.3069 0.1001  3 S 2.63, 3 Ag 2.83

Calculated values
E_tot in eV/atom: -3.179
DOS at the Fermi energy in states/eV/f.u.: 0.2

---

Record 11
This record from Alexandria describes a relaxed structure of AgHSe2S. The functional is PBE.

Lattice parameters (Å, degrees): 3.7969 7.7814 3.7969 90.00 90.00 90.00
With the nearest neighbours (Å) after each atom.
Positions (direct):
Se1 0.0000 0.0000 0.5000  2 H 1.90
S1 0.5000 0.5000 0.5000  4 Ag 2.68
Se2 0.5000 0.0000 0.0000  2 H 1.90
Ag1 0.0000 0.5000 0.0000  4 S 2.68
H1 0.0000 0.0000 0.0000  4 Se 1.90

Calculated values
E_tot in eV/atom: -2.913
DOS at the Fermi energy in states/eV/f.u.: 3.1

---

Record 12
This record from Alexandria describes a relaxed structure of Si2AgHS. The functional is PBE.

Lattice parameters (Å, degrees): 4.8598 4.8598 3.4362 90.00 90.00 90.00
With the nearest neighbours (Å) after each atom.
Positions (direct):
H1 0.0000 0.0000 0.5000  2 Ag 1.72
Ag1 0.0000 0.0000 0.0000  2 H 1.72
S1 0.5000 0.5000 0.5000  8 Si 2.98
Si1 0.5000 0.0000 0.0000  2 Ag 2.43
Si2 0.0000 0.5000 0.0000  2 Ag 2.43

Calculated values
E_tot in eV/atom: -3.628
DOS at the Fermi energy in states/eV/f.u.: 0.7